Entry 1:
First-principles (GGA-PBE) data for a geometry-optimized FeNi2Te6 structure, as listed in the Alexandria database.

It has space group C2/m (No. 12), with a = 12.585 Å, b = 3.860 Å, c = 8.647 Å, α = 90.00°, β = 98.80° and γ = 90.00°. The inequivalent atoms are Fe at (0.000, 0.000, 0.000), Ni at (0.168, 0.500, 0.331), Te at (0.028, 0.000, 0.296), Te at (0.135, 0.500, 0.023) and Te at (0.196, 0.500, 0.638).

Its formation energy (no corrections) is -0.17 eV per atom.


Entry 2:
First-principles (GGA-PBE) data for a geometry-optimized FeNi4Te structure, as listed in the Alexandria database.

It has space group F-43m (No. 216), with a = 6.817 Å, b = 6.817 Å, c = 6.817 Å, α = 90.00°, β = 90.00° and γ = 90.00°. The inequivalent atoms are Fe at (0.000, 0.000, 0.000), Ni at (0.126, 0.126, 0.626) and Te at (0.250, 0.250, 0.250).

Its formation energy (no corrections) is 0.20 eV per atom.


Entry 3:
First-principles (GGA-PBE) data for a geometry-optimized Fe3NiTe structure, as listed in the Alexandria database.

It has space group Pm-3m (No. 221), with a = 4.673 Å, b = 4.673 Å, c = 4.673 Å, α = 90.00°, β = 90.00° and γ = 90.00°. The inequivalent atoms are Fe at (0.000, 0.000, 0.500), Ni at (0.500, 0.500, 0.500) and Te at (0.000, 0.000, 0.000).

Its energy relative to the lowest polymorph listed for this composition is 3.636 eV per formula unit. Its formation energy (no corrections) is 1.48 eV per atom.


Entry 4:
First-principles (GGA-PBE) data for a geometry-optimized Fe2NiTe structure, as listed in the Alexandria database.

It has space group Immm (No. 71), with a = 3.707 Å, b = 3.718 Å, c = 8.159 Å, α = 90.00°, β = 90.00° and γ = 90.00°. The inequivalent atoms are Fe at (0.000, 0.000, 0.250), Ni at (0.000, 0.500, 0.000) and Te at (0.000, 0.500, 0.500).

Its formation energy (no corrections) is 0.18 eV per atom.


The records above give, respectively, calculated volume values of 415.10 316.74 102.03 112.47 Å³ per cell.